## MnCd2CuO (GGA+U)

Data for an optimized crystal structure of MnCd2CuO.

```
MnCd2CuO
1.0
5.520 0.000 0.000
0.000 3.610 0.000
0.000 0.000 5.520
Cu Mn Cd O
1 1 2 1
direct
0.500 0.500 0.500 Cu
0.000 0.000 0.000 Mn
0.000 0.000 0.500 Cd
0.500 0.000 0.000 Cd
0.000 0.500 0.000 O
```

DOS(E_F) in states/eV per atom: 0.410
Space group: P4/mmm (123)
Calculated total energy in eV per atom: -3.546